(1)
The following is a PBE calculation of a geometry-optimized Sm4Si2Bi structure, from the Alexandria database.

As for the total energy: -5.373 eV per atom. For the formation energy (no corrections), the calculation gives -572 meV/atom. The crystal system is tetragonal.

It has space group I4_1/amd (No. 141, origin choice 2), with a = 9.5813 Å, b = 9.5813 Å, c = 9.6021 Å, α = 90.00°, β = 90.00° and γ = 90.00°. The inequivalent atoms are Sm at (0.0000, 0.0702, 0.2111), Si at (0.0000, 0.0000, 0.5000) and Bi at (0.0000, 0.2500, 0.8750).

(2)
The following is a PBE calculation of a geometry-optimized NaMnHIr2 structure, from the Alexandria database.

As for the total energy: -4.771 eV per atom. The crystal system is tetragonal.

It has space group P4/mmm (No. 123), with a = 4.4116 Å, b = 4.4116 Å, c = 5.6606 Å, α = 90.00°, β = 90.00° and γ = 90.00°. The inequivalent atoms are Na at (0.0000, 0.0000, 0.0000), Mn at (0.0000, 0.0000, 0.5000), H at (0.5000, 0.5000, 0.0000) and Ir at (0.0000, 0.5000, 0.5000).

(3)
The following is a PBE calculation of a geometry-optimized Sr3CaC structure, from the Alexandria database.

As for the total energy: -1.358 eV per atom. The formation energy from the elements is 182.9 kJ per mole of atoms. The crystal system is cubic.

It has space group Pm-3m (No. 221), with a = 7.1495 Å, b = 7.1495 Å, c = 7.1495 Å, α = 90.00°, β = 90.00° and γ = 90.00°. The inequivalent atoms are Sr at (0.0000, 0.0000, 0.5000), Ca at (0.0000, 0.0000, 0.0000) and C at (0.5000, 0.5000, 0.5000).

(4)
The following is a PBE calculation of a geometry-optimized Ba2HgPd3 structure, from the Alexandria database.

As for the total energy: -3.786 eV per atom. The formation energy from the elements is -48.0 kJ per mole of atoms. The crystal system is orthorhombic.

It has space group Fmmm (No. 69), with a = 8.8794 Å, b = 9.4482 Å, c = 16.2586 Å, α = 90.00°, β = 90.00° and γ = 90.00°. The inequivalent atoms are Ba at (0.2437, 0.0000, 0.0000), Ba at (0.2500, 0.2500, 0.2500), Hg at (0.0000, 0.0000, 0.3349), Pd at (0.0000, 0.0000, 0.1659) and Pd at (0.0000, 0.2463, 0.0829).

(5)
The following is a PBE calculation of a geometry-optimized NaMgSc2As structure, from the Alexandria database.

As for the total energy: -4.156 eV per atom. The formation energy from the elements is -10.7 kJ per mole of atoms. The crystal system is tetragonal.

It has space group P4/mmm (No. 123), with a = 5.1737 Å, b = 5.1737 Å, c = 5.1526 Å, α = 90.00°, β = 90.00° and γ = 90.00°. The inequivalent atoms are Na at (0.0000, 0.0000, 0.0000), Mg at (0.5000, 0.5000, 0.0000), Sc at (0.0000, 0.5000, 0.5000) and As at (0.5000, 0.5000, 0.5000).

(6)
The following is a PBE calculation of a geometry-optimized Nd2HgI structure, from the Alexandria database.

As for the total energy: -3.447 eV per atom. For the formation energy (no corrections), the calculation gives -600 meV/atom. The crystal system is tetragonal.

It has space group P4/mmm (No. 123), with a = 3.7378 Å, b = 3.7378 Å, c = 8.5130 Å, α = 90.00°, β = 90.00° and γ = 90.00°. The inequivalent atoms are Nd at (0.0000, 0.0000, 0.2322), Hg at (0.5000, 0.5000, 0.0000) and I at (0.5000, 0.5000, 0.5000).